DFT (GGA-PBE) results for PmTmCd4 after structural relaxation.

POSCAR file:
```
PmTmCd4
1.0
5.927 0.000 0.000
2.964 5.133 0.000
2.964 1.711 4.840
Cd Tm Pm
4 1 1
Direct
0.625 0.625 0.125
0.625 0.125 0.625
0.625 0.625 0.625
0.125 0.625 0.625
0.000 0.000 0.000
0.250 0.250 0.250
```

Values from the calculation:
Space-group type   F-43m, No. 216
Energy above the most stable polymorph in this dataset   62 meV per atom
Calculated volume   24.54 Å³/atom
ρ   8.611 g cm⁻³



DFT (GGA-PBE) results for PmTm2Cd6 after structural relaxation.

POSCAR file:
```
PmTm2Cd6
1.0
-1.782 1.138 -2.673
4.470 -5.242 -5.212
-7.303 -2.775 3.687
Pm Tm Cd
1 2 6
Direct
0.000 0.000 0.000
0.000 0.333 0.667
0.000 0.667 0.333
0.500 0.336 0.336
0.500 0.664 0.664
0.500 0.000 0.664
0.500 0.664 0.000
0.500 0.336 0.000
0.500 0.000 0.336
```

Values from the calculation:
E   -21.92 eV for the cell shown
Space-group type   P6/mmm, No. 191
Calculated volume   24.47 Å³/atom
ρ   8.726 g cm⁻³



DFT (GGA-PBE) results for Pm2Tm2Cd after structural relaxation.

POSCAR file:
```
Pm2Tm2Cd
1.0
4.321 0.000 0.000
0.000 4.321 0.000
-2.161 -2.161 8.764
Pm Tm Cd
2 2 1
Direct
0.750 0.250 0.500
0.250 0.750 0.500
0.412 0.412 0.824
0.588 0.588 0.176
0.000 0.000 0.000
```

Values from the calculation:
Space-group type   I4/mmm, No. 139
Energy above the most stable polymorph in this dataset   514 meV per atom
Calculated volume   32.73 Å³/atom
ρ   7.511 g cm⁻³



- The lowest ρ belongs to which entry?
  Pm2Tm2Cd